Pm2PuAgO8 | PBE-GGA | optimized geometry

abc: 4.3141 5.3679 7.6218
angles: 98.36 86.77 98.46
Last column: nearest neighbours and their distance in Å.
Atoms (fractional coordinates):
1 Pm 0.5202 0.4493 0.7345  4 O 2.27-2.46
2 Pm 0.4798 0.5507 0.2655  4 O 2.27-2.46
3 Pu 0.0000 0.0000 0.0000  4 O 1.89-1.96
4 Ag 0.0000 0.0000 0.5000  4 O 2.00-2.07
5 O 0.0454 0.7953 0.2501  1 Ag 2.07
6 O 0.5970 0.7791 0.0105  1 Pu 1.96
7 O 0.9062 0.2676 0.1762  1 Pu 1.89
8 O 0.9546 0.2047 0.7499  1 Ag 2.07
9 O 0.4030 0.2209 0.9895  1 Pu 1.96
10 O 0.0938 0.7324 0.8238  1 Pu 1.89
11 O 0.6296 0.7391 0.5396  1 Ag 2.00
12 O 0.3704 0.2609 0.4604  1 Ag 2.00

Summary:
The formation energy (no corrections) is -2.27 eV/atom. As for the space-group type: No. 2.

Be5FeB | PBE-GGA | optimized geometry

abc: 3.8870 5.8309 5.6061
angles: 70.68 69.72 70.53
Last column: nearest neighbours and their distance in Å.
Atoms (fractional coordinates):
1 Be 0.1843 0.5731 0.1045  2 B 1.95-2.09, 4 Be 2.08-2.12
2 Be 0.0751 0.2601 0.5801  1 B 2.00, 3 Be 2.03-2.12
3 Be 0.6381 0.0731 0.6045  2 B 1.95-2.09, 4 Be 2.08-2.12
4 Be 0.9800 0.2500 0.2500  2 B 1.89-2.00, 4 Be 2.03-2.09
5 Be 0.4152 0.2399 0.9199  1 B 2.00, 3 Be 2.03-2.12
6 Be 0.5848 0.7601 0.0801  1 B 2.00, 3 Be 2.03-2.12
7 Be 0.0200 0.7500 0.7500  2 B 1.89-2.00, 4 Be 2.03-2.09
8 Be 0.3619 0.9269 0.3955  2 B 1.95-2.09, 4 Be 2.08-2.12
9 Be 0.9249 0.7399 0.4199  1 B 2.00, 3 Be 2.03-2.12
10 Be 0.8157 0.4269 0.8955  2 B 1.95-2.09, 4 Be 2.08-2.12
11 Fe 0.0000 0.0000 0.0000  10 Be 2.28-2.34, 2 B 2.34
12 Fe 0.5000 0.5000 0.5000  10 Be 2.28-2.34, 2 B 2.34
13 B 0.4945 0.2500 0.2500  8 Be 1.89-2.09
14 B 0.5055 0.7500 0.7500  8 Be 1.89-2.09

Summary:
As for the energy of formation: -0.034 eV per atom. As for the space-group type: No. 15.

Sr2SnS2I2 | PBE-GGA | optimized geometry

abc: 5.3493 5.3493 9.2388
angles: 106.83 106.83 90.00
Last column: nearest neighbours and their distance in Å.
Atoms (fractional coordinates):
1 Sr 0.3918 0.3918 0.7836  4 S 3.24, 1 I 3.35
2 Sr 0.6082 0.6082 0.2164  4 S 3.24, 1 I 3.35
3 Sn 0.0000 0.0000 0.0000  4 S 2.67
4 S 0.0000 0.5000 0.0000  2 Sn 2.67
5 S 0.5000 0.0000 0.0000  2 Sn 2.67
6 I 0.1929 0.1929 0.3858  1 Sn 3.25, 1 Sr 3.35
7 I 0.8071 0.8071 0.6142  1 Sn 3.25, 1 Sr 3.35

Summary:
The formation energy (no corrections) is -1.27 eV/atom. As for the space-group type: No. 139.

Pu2SiSb | PBE-GGA | optimized geometry

abc: 4.8829 4.8829 5.5534
angles: 63.92 63.92 60.00
Last column: nearest neighbours and their distance in Å.
Atoms (fractional coordinates):
1 Sb 0.5000 0.5000 0.5000  8 Pu 3.16-3.35
2 Si 0.0000 0.0000 0.0000  6 Pu 2.98
3 Pu 0.2665 0.2665 0.2006  3 Si 2.98, 3 Sb 3.16
4 Pu 0.7335 0.7335 0.7994  3 Si 2.98, 3 Sb 3.16

Summary:
The formation energy (no corrections) is -0.32 eV/atom. The energy relative to the lowest polymorph listed for this composition is 3.25 kcal/mol of atoms. As for the space-group type: No. 166.

Cs2ErPaSe4 | PBE-GGA | optimized geometry

abc: 4.2123 7.3622 8.7821
angles: 105.91 90.00 90.00
Last column: nearest neighbours and their distance in Å.
Atoms (fractional coordinates):
1 Cs 0.5000 0.0000 0.5000  6 Se 3.58-3.60
2 Cs 0.0000 0.5000 0.5000  6 Se 3.60-3.61
3 Er 0.0000 0.0000 0.0000  6 Se 2.90
4 Pa 0.5000 0.5000 0.0000  6 Se 2.92-2.93
5 Se 0.5000 0.2265 0.1856  2 Er 2.90, 1 Pa 2.92
6 Se 0.5000 0.7735 0.8144  2 Er 2.90, 1 Pa 2.92
7 Se 0.0000 0.2662 0.8108  1 Er 2.90, 2 Pa 2.93
8 Se 0.0000 0.7338 0.1892  1 Er 2.90, 2 Pa 2.93

Summary:
The formation energy (no corrections) is -1.48 eV/atom. As for the space-group type: No. 10.

PmSm2Tl3 | PBE-GGA | optimized geometry

abc: 3.8430 3.8430 11.7803
angles: 90.00 90.00 90.00
Last column: nearest neighbours and their distance in Å.
Atoms (fractional coordinates):
1 Pm 0.5000 0.5000 0.5000  8 Tl 3.36
2 Sm 0.5000 0.5000 0.8341  8 Tl 3.35
3 Sm 0.5000 0.5000 0.1659  8 Tl 3.35
4 Tl 0.0000 0.0000 0.0000  8 Sm 3.35
5 Tl 0.0000 0.0000 0.6683  4 Sm 3.35, 4 Pm 3.36
6 Tl 0.0000 0.0000 0.3317  4 Sm 3.35, 4 Pm 3.36

Summary:
As for the energy of formation: -0.384 eV per atom. As for the space-group type: No. 123.

Mg2MnTlN | PBE-GGA | optimized geometry

abc: 4.3615 4.3615 4.1762
angles: 90.00 90.00 90.00
Last column: nearest neighbours and their distance in Å.
Atoms (fractional coordinates):
1 Tl 0.5000 0.5000 0.5000  8 Mg 3.02, 4 Mn 3.08
2 Mn 0.0000 0.0000 0.5000  2 N 2.09
3 Mg 0.0000 0.5000 0.0000  2 N 2.18
4 Mg 0.5000 0.0000 0.0000  2 N 2.18
5 N 0.0000 0.0000 0.0000  2 Mn 2.09, 4 Mg 2.18

Summary:
The formation energy (no corrections) is -0.19 eV/atom. As for the space-group type: No. 123.

CaCr2Mo | PBE-GGA | optimized geometry

abc: 8.9681 8.9681 8.9681
angles: 18.96 18.96 18.96
Last column: nearest neighbours and their distance in Å.
Atoms (fractional coordinates):
1 Cr 0.9817 0.9817 0.9817  3 Cr 2.32
2 Cr 0.2555 0.2555 0.2555  3 Cr 2.32, 3 Mo 2.58
3 Mo 0.5155 0.5155 0.5155  3 Cr 2.58
4 Ca 0.7473 0.7473 0.7473  6 Ca 2.95, 3 Cr 3.12, 3 Mo 3.18

Summary:
As for the energy of formation: 0.787 eV per atom. The energy relative to the lowest polymorph listed for this composition is 6.55 kcal/mol of atoms. As for the space-group type: No. 160.

Pm2MgRh | PBE-GGA | optimized geometry

abc: 4.0382 4.0382 8.7701
angles: 76.69 76.69 60.00
Last column: nearest neighbours and their distance in Å.
Atoms (fractional coordinates):
1 Pm 0.0622 0.0622 0.8133  3 Rh 2.82
2 Pm 0.2712 0.2712 0.1865  3 Rh 2.81
3 Mg 0.5005 0.5005 0.4985  6 Pm 3.52-3.54
4 Rh 0.6661 0.6661 0.0017  6 Pm 2.81-2.82

Summary:
As for the energy of formation: -0.309 eV per atom. The energy relative to the lowest polymorph listed for this composition is 2.82 kcal/mol of atoms. As for the space-group type: No. 160.

Zr2TeP | PBE-GGA | optimized geometry

abc: 3.8317 3.8317 7.1637
angles: 74.49 74.49 60.00
Last column: nearest neighbours and their distance in Å.
Atoms (fractional coordinates):
1 Zr 0.0664 0.0664 0.8009  3 P 2.59
2 Zr 0.2675 0.2675 0.1975  3 P 2.60
3 Te 0.4988 0.4988 0.5035  6 Zr 3.00-3.04
4 P 0.6673 0.6673 0.9982  6 Zr 2.59-2.60

Summary:
The formation energy (no corrections) is -1.15 eV/atom. The energy relative to the lowest polymorph listed for this composition is 0.00 kcal/mol of atoms. As for the space-group type: No. 160.

LuBi2Sb | PBE-GGA | optimized geometry

abc: 3.4447 3.4447 12.2859
angles: 81.94 81.94 60.00
Last column: nearest neighbours and their distance in Å.
Atoms (fractional coordinates):
1 Sb 0.5000 0.5000 0.5000  6 Sb 3.44, 6 Bi 3.54
2 Lu 0.0000 0.0000 0.0000  2 Bi 3.13, 6 Lu 3.44
3 Bi 0.0861 0.0861 0.7418  1 Lu 3.13, 6 Bi 3.44
4 Bi 0.9139 0.9139 0.2582  1 Lu 3.13, 6 Bi 3.44

Summary:
The formation energy (no corrections) is 0.24 eV/atom. As for the space-group type: No. 166.

Na2Hg3S4O2 | PBE-GGA | optimized geometry

abc: 9.1312 9.1312 9.1312
angles: 130.57 120.36 81.04
Last column: nearest neighbours and their distance in Å.
Atoms (fractional coordinates):
1 Na 0.2598 0.4820 0.7418  2 O 2.57-2.59
2 Na 0.7402 0.5180 0.2582  2 O 2.57-2.59
3 Na 0.7598 0.0180 0.7778  2 O 2.57-2.59
4 Na 0.2402 0.9820 0.2222  2 O 2.57-2.59
5 Hg 0.2500 0.7500 0.5000  4 S 2.79, 2 Hg 2.96
6 Hg 0.7500 0.2500 0.5000  4 S 2.79, 2 Hg 2.96
7 Hg 0.0762 0.2500 0.8262  2 Hg 2.96-3.16, 2 S 3.02
8 Hg 0.4238 0.2500 0.1738  2 Hg 2.96-3.16, 2 S 3.02
9 Hg 0.9238 0.7500 0.1738  2 Hg 2.96-3.16, 2 S 3.02
10 Hg 0.5762 0.7500 0.8262  2 Hg 2.96-3.16, 2 S 3.02
11 S 0.0572 0.8508 0.6983  1 O 1.76
12 S 0.1525 0.3589 0.3017  1 O 1.76
13 S 0.3475 0.6492 0.2063  1 O 1.76
14 S 0.4428 0.1411 0.7937  1 O 1.76
15 S 0.9428 0.1492 0.3017  1 O 1.76
16 S 0.8475 0.6411 0.6983  1 O 1.76
17 S 0.6525 0.3508 0.7937  1 O 1.76
18 S 0.5572 0.8589 0.2063  1 O 1.76
19 O 0.0599 0.7196 0.7795  2 S 1.76
20 O 0.9401 0.2804 0.2205  2 S 1.76
21 O 0.5599 0.7804 0.3403  2 S 1.76
22 O 0.4401 0.2196 0.6597  2 S 1.76

Summary:
The formation energy (no corrections) is -0.27 eV/atom. As for the space-group type: No. 72.